Computed, not measured: a relaxed B3PN crystal at the PBE level of DFT.

The structure in CIF format:
```
data_B3PN
_space_group_name_H-M_alt 'P m -3 m'
_space_group_IT_number 221
_space_group_name_Hall '-P 4 2 3'
_cell_length_a 3.4661
_cell_length_b 3.4661
_cell_length_c 3.4661
_cell_angle_alpha 90.00
_cell_angle_beta 90.00
_cell_angle_gamma 90.00
loop_
_atom_site_label
_atom_site_type_symbol
_atom_site_fract_x
_atom_site_fract_y
_atom_site_fract_z
B1 B 0.0000 0.0000 0.5000
P1 P 0.5000 0.5000 0.5000
N1 N 0.0000 0.0000 0.0000
```

Properties
V = 8.33 A^3/atom
Polymorph energy (0 for the lowest one) = 0.00 eV per formula unit
E_tot = -5.00 eV/atom
ΔE_f (raw) = 1.75 eV per atom

=====

Computed, not measured: a relaxed Ce2MgTl2 crystal at the PBE level of DFT.

The structure in CIF format:
```
data_Ce2MgTl2
_space_group_name_H-M_alt 'C m m m'
_space_group_IT_number 65
_space_group_name_Hall '-C 2 2'
_cell_length_a 12.5706
_cell_length_b 14.9058
_cell_length_c 3.1360
_cell_angle_alpha 90.00
_cell_angle_beta 90.00
_cell_angle_gamma 90.00
loop_
_atom_site_label
_atom_site_type_symbol
_atom_site_fract_x
_atom_site_fract_y
_atom_site_fract_z
Ce1 Ce 0.0000 0.1264 0.0000
Ce2 Ce 0.1503 0.0000 0.0000
Mg1 Mg 0.2500 0.2500 0.0000
Tl1 Tl 0.0000 0.3189 0.5000
Tl2 Tl 0.1237 0.5000 0.5000
```

Properties
Formation energy from the elements = 0.184 eV/atom
V = 29.38 A^3/atom
Polymorph energy (0 for the lowest one) = 1.66 eV per formula unit
E_tot = -3.45 eV/atom